Entry from OQMD via LeMat-Bulk: a geometry-optimized HoMgBi structure (PBE-GGA).

Computed properties:
DFT total energy ... -3.470 eV/atom
Crystal system ... cubic
V ... 30.899 Å³ per atom

CIF file:
```
data_HoMgBi
_chemical_formula_sum 'Ho4 Mg4 Bi4'
_space_group_name_H-M_alt 'F -4 3 m'
_space_group_IT_number 216
_space_group_name_Hall 'F -4 2 3'
_cell_length_a 7.184
_cell_length_b 7.184
_cell_length_c 7.184
_cell_angle_alpha 90.00
_cell_angle_beta 90.00
_cell_angle_gamma 90.00
loop_
_atom_site_label
_atom_site_fract_x
_atom_site_fract_y
_atom_site_fract_z
Ho1 0.000 0.000 0.000
Mg1 0.000 0.000 0.500
Bi1 0.250 0.250 0.250
```